1.
First-principles (meta-GGA SCAN) data for a PBEsol-optimized structure of HgBr2, as listed in the Alexandria database.

## Properties
Symmetry = Cm (8)
M_tot = 0.00 μB per formula unit
E_form (uncorrected) = -0.391 eV/atom
E_tot = -36.085 eV/atom

Cell lengths 6.9725, 6.9725, 7.5128 Å; angles 90.03, 90.03, 33.07 degrees
Element x y z (fractional)
Hg: 0.0000 0.0000 0.0000
Hg: 0.7343 0.7343 0.3238
Br: 0.1931 0.1931 0.5511
Br: 0.2055 0.2055 0.0577
Br: 0.4718 0.4718 0.7774
Br: 0.9391 0.9391 0.3227

=====

2.
First-principles (meta-GGA SCAN) data for a PBEsol-optimized structure of FeP2SCl, as listed in the Alexandria database.

## Properties
Symmetry = P4/mmm (123)
M_tot = 4.13 μB per formula unit
E_form (uncorrected) = 1.100 eV/atom
E_tot = -10.207 eV/atom

Cell lengths 4.4874, 4.4874, 4.5154 Å; angles 90.00, 90.00, 90.00 degrees
Element x y z (fractional)
Fe: 0.0000 0.0000 0.0000
P: 0.0000 0.5000 0.5000
P: 0.5000 0.0000 0.5000
S: 0.5000 0.5000 0.5000
Cl: 0.5000 0.5000 0.0000

=====

3.
First-principles (meta-GGA SCAN) data for a PBEsol-optimized structure of Li2As, as listed in the Alexandria database.

## Properties
Symmetry = P-3m1 (164)
M_tot = 0.00 μB per formula unit
Energy of formation = -191 kJ/mol of formula units
Relative energy among the computed polymorphs = 62 meV per atom
E_tot = -8.985 eV/atom

Cell lengths 4.2635, 4.2635, 2.8700 Å; angles 90.00, 90.00, 120.00 degrees
Element x y z (fractional)
Li: 0.3333 0.6667 0.3007
Li: 0.6667 0.3333 0.6993
As: 0.0000 0.0000 0.0000

=====

4.
First-principles (meta-GGA SCAN) data for a PBEsol-optimized structure of Si2Ag6O7, as listed in the Alexandria database.

## Properties
Symmetry = P2/c (13)
M_tot = 0.00 μB per formula unit
E_form (uncorrected) = -1.286 eV/atom
E_tot = -18.076 eV/atom

Cell lengths 7.8730, 5.2706, 10.4788 Å; angles 90.00, 115.51, 90.00 degrees
Element x y z (fractional)
Si: 0.2023 0.2494 0.3662
Si: 0.2023 0.7506 0.8662
Si: 0.7977 0.2494 0.1338
Si: 0.7977 0.7506 0.6338
Ag: 0.0678 0.2870 0.6079
Ag: 0.0678 0.7130 0.1079
Ag: 0.3150 0.3120 0.1044
Ag: 0.3150 0.6880 0.6044
Ag: 0.4406 0.2606 0.8565
Ag: 0.4406 0.7394 0.3565
Ag: 0.5594 0.2606 0.6435
Ag: 0.5594 0.7394 0.1435
Ag: 0.6850 0.3120 0.3956
Ag: 0.6850 0.6880 0.8956
Ag: 0.9322 0.2870 0.8921
Ag: 0.9322 0.7130 0.3921
O: 0.0000 0.1292 0.2500
O: 0.0000 0.8708 0.7500
O: 0.1834 0.4372 0.8713
O: 0.1834 0.5628 0.3713
O: 0.2491 0.1277 0.5226
O: 0.2491 0.8723 0.0226
O: 0.3641 0.1698 0.3156
O: 0.3641 0.8302 0.8156
O: 0.6359 0.1698 0.1844
O: 0.6359 0.8302 0.6844
O: 0.7509 0.1277 0.9774
O: 0.7509 0.8723 0.4774
O: 0.8166 0.4372 0.6287
O: 0.8166 0.5628 0.1287

=====

5.
First-principles (meta-GGA SCAN) data for a PBEsol-optimized structure of Be4ZnCu, as listed in the Alexandria database.

## Properties
Symmetry = F-43m (216)
M_tot = 0.00 μB per formula unit
Energy of formation = -75 kJ/mol of formula units
E_tot = -7.818 eV/atom

Cell lengths 4.2670, 4.2670, 4.2670 Å; angles 60.00, 60.00, 60.00 degrees
Element x y z (fractional)
Be: 0.1245 0.1245 0.1245
Be: 0.1245 0.1245 0.6266
Be: 0.1245 0.6266 0.1245
Be: 0.6266 0.1245 0.1245
Zn: 0.5000 0.5000 0.5000
Cu: 0.7500 0.7500 0.7500

=====

6.
First-principles (meta-GGA SCAN) data for a PBEsol-optimized structure of TbGe2Pd2, as listed in the Alexandria database.

## Properties
Symmetry = I4/mmm (139)
M_tot = 0.00 μB per formula unit
Energy of formation = -439 kJ/mol of formula units
E_tot = -31.006 eV/atom

Cell lengths 5.8519, 5.8519, 5.8519 Å; angles 137.95, 137.95, 60.97 degrees
Element x y z (fractional)
Tb: 0.0000 0.0000 0.0000
Ge: 0.3809 0.3809 0.0000
Ge: 0.6191 0.6191 0.0000
Pd: 0.2500 0.7500 0.5000
Pd: 0.7500 0.2500 0.5000

=====

Q: Which of these has the highest M_tot?
A: FeP2SCl

=====

Q: Look up the E_tot of the fifth one.
A: -7.818 eV/atom

=====

Please write out number 1 again, unchanged.
First-principles (meta-GGA SCAN) data for a PBEsol-optimized structure of HgBr2, as listed in the Alexandria database.

## Properties
Symmetry = Cm (8)
M_tot = 0.00 μB per formula unit
E_form (uncorrected) = -0.391 eV/atom
E_tot = -36.085 eV/atom

Cell lengths 6.9725, 6.9725, 7.5128 Å; angles 90.03, 90.03, 33.07 degrees
Element x y z (fractional)
Hg: 0.0000 0.0000 0.0000
Hg: 0.7343 0.7343 0.3238
Br: 0.1931 0.1931 0.5511
Br: 0.2055 0.2055 0.0577
Br: 0.4718 0.4718 0.7774
Br: 0.9391 0.9391 0.3227